No. 1
Crystalline SmGdPuSn at its relaxed geometry. Source: the Alexandria database, functional PBE.

The value obtained for the total magnetic moment is 0.1254 μB/atom. Its crystal system is cubic. The formation energy is -0.12 eV per atom.

The space group is F-43m (No. 216) and the conventional cell measures 7.688, 7.688 and 7.688 Å, with angles of 90.00, 90.00 and 90.00 degrees. The asymmetric unit holds Sm at (0.000, 0.000, 0.000), Gd at (0.250, 0.250, 0.750), Pu at (0.000, 0.000, 0.500) and Sn at (0.250, 0.250, 0.250).

No. 2
Crystalline SmGdPuTl at its relaxed geometry. Source: the Alexandria database, functional PBE.

The value obtained for the total magnetic moment is 0.2013 μB/atom. Its crystal system is cubic. The formation energy is 0.02 eV per atom.

The space group is F-43m (No. 216) and the conventional cell measures 7.748, 7.748 and 7.748 Å, with angles of 90.00, 90.00 and 90.00 degrees. The asymmetric unit holds Sm at (0.000, 0.000, 0.000), Gd at (0.000, 0.000, 0.500), Pu at (0.250, 0.250, 0.750) and Tl at (0.250, 0.250, 0.250).